No. 1
Here is La3CoRh after structural relaxation from Alexandria via LeMat-Bulk. Energies are from PBE-GGA.

Computed properties:
ΔE_f, eV/atom: -0.351
Total energy, eV per atom: -6.20

Structure (CIF):
```
data_La3CoRh
_chemical_formula_sum 'La6 Co2 Rh2'
_cell_length_a 7.4679
_cell_length_b 3.9043
_cell_length_c 9.4831
_cell_angle_alpha 90.00
_cell_angle_beta 103.19
_cell_angle_gamma 90.00
_symmetry_space_group_name_H-M 'P 1 21/m 1'
_symmetry_Int_Tables_number 11
_symmetry_space_group_name_Hall '-P 2yb'
loop_
_atom_site_label
_atom_site_type_symbol
_atom_site_fract_x
_atom_site_fract_y
_atom_site_fract_z
La1 La 0.1196 0.2500 0.2850
La2 La 0.2804 0.2500 0.9518
La3 La 0.3562 0.7500 0.6291
Co1 Co 0.0409 0.2500 0.5761
Rh1 Rh 0.3905 0.7500 0.1805
```

***

No. 2
Here is Tl3Zn5I12 after structural relaxation from Alexandria via LeMat-Bulk. Energies are from PBE-GGA.

Computed properties:
Total energy, eV per atom: -2.10
Formation energy from raw total energies, kJ/mol of formula units: -950

Structure (CIF):
```
data_Tl3Zn5I12
_chemical_formula_sum 'Tl24 Zn40 I96'
_cell_length_a 18.4124
_cell_length_b 18.4124
_cell_length_c 18.4124
_cell_angle_alpha 90.00
_cell_angle_beta 90.00
_cell_angle_gamma 90.00
_symmetry_space_group_name_H-M 'I a -3 d'
_symmetry_Int_Tables_number 230
_symmetry_space_group_name_Hall '-I 4bd 2c 3'
loop_
_atom_site_label
_atom_site_type_symbol
_atom_site_fract_x
_atom_site_fract_y
_atom_site_fract_z
Tl1 Tl 0.0000 0.2500 0.1250
Zn1 Zn 0.0000 0.0000 0.0000
Zn2 Zn 0.0000 0.2500 0.3750
I1 I 0.0349 0.0516 0.6480
```

***

No. 3
Here is CaTmTlHg after structural relaxation from Alexandria via LeMat-Bulk. Energies are from PBE-GGA.

Computed properties:
ΔE_f, eV/atom: -0.449
Total energy, eV per atom: -2.73

Structure (CIF):
```
data_CaTmTlHg
_chemical_formula_sum 'Ca1 Tm1 Tl1 Hg1'
_cell_length_a 3.7264
_cell_length_b 3.7264
_cell_length_c 7.7367
_cell_angle_alpha 90.00
_cell_angle_beta 90.00
_cell_angle_gamma 90.00
_symmetry_space_group_name_H-M 'P 4 m m'
_symmetry_Int_Tables_number 99
_symmetry_space_group_name_Hall 'P 4 -2'
loop_
_atom_site_label
_atom_site_type_symbol
_atom_site_fract_x
_atom_site_fract_y
_atom_site_fract_z
Ca1 Ca 0.0000 0.0000 0.0000
Tm1 Tm 0.0000 0.0000 0.4807
Tl1 Tl 0.5000 0.5000 0.7325
Hg1 Hg 0.5000 0.5000 0.2577
```

***

No. 4
Here is SmTh3Hg4 after structural relaxation from Alexandria via LeMat-Bulk. Energies are from PBE-GGA.

Computed properties:
ΔE_f, eV/atom: -0.264
Total energy, eV per atom: -3.79

Structure (CIF):
```
data_SmTh3Hg4
_chemical_formula_sum 'Sm1 Th3 Hg4'
_cell_length_a 3.7918
_cell_length_b 3.7918
_cell_length_c 15.4783
_cell_angle_alpha 90.00
_cell_angle_beta 90.00
_cell_angle_gamma 90.00
_symmetry_space_group_name_H-M 'P 4/m m m'
_symmetry_Int_Tables_number 123
_symmetry_space_group_name_Hall '-P 4 2'
loop_
_atom_site_label
_atom_site_type_symbol
_atom_site_fract_x
_atom_site_fract_y
_atom_site_fract_z
Sm1 Sm 0.0000 0.0000 0.0000
Th1 Th 0.0000 0.0000 0.2487
Th2 Th 0.0000 0.0000 0.5000
Hg1 Hg 0.5000 0.5000 0.1185
Hg2 Hg 0.5000 0.5000 0.3737
```

***

No. 5
Here is Si2RhAu after structural relaxation from Alexandria via LeMat-Bulk. Energies are from PBE-GGA.

Computed properties:
Total energy, eV per atom: -5.31
Formation energy from raw total energies, kJ/mol of formula units: 22

Structure (CIF):
```
data_Si2RhAu
_chemical_formula_sum 'Si4 Rh2 Au2'
_cell_length_a 5.5682
_cell_length_b 8.4078
_cell_length_c 3.1358
_cell_angle_alpha 90.00
_cell_angle_beta 120.86
_cell_angle_gamma 90.00
_symmetry_space_group_name_H-M 'C 1 2/m 1'
_symmetry_Int_Tables_number 12
_symmetry_space_group_name_Hall '-C 2y'
loop_
_atom_site_label
_atom_site_type_symbol
_atom_site_fract_x
_atom_site_fract_y
_atom_site_fract_z
Si1 Si 0.2500 0.2500 0.0000
Rh1 Rh 0.0000 0.0000 0.0000
Au1 Au 0.0000 0.5000 0.0000
```

***

No. 6
Here is Pa2GeBiH2 after structural relaxation from Alexandria via LeMat-Bulk. Energies are from PBE-GGA.

Computed properties:
Total energy, eV per atom: -6.12

Structure (CIF):
```
data_Pa2GeBiH2
_chemical_formula_sum 'Pa2 Ge1 Bi1 H2'
_cell_length_a 3.9702
_cell_length_b 3.9702
_cell_length_c 8.1702
_cell_angle_alpha 90.00
_cell_angle_beta 90.00
_cell_angle_gamma 120.00
_symmetry_space_group_name_H-M 'P -3 m 1'
_symmetry_Int_Tables_number 164
_symmetry_space_group_name_Hall '-P 3 2"'
loop_
_atom_site_label
_atom_site_type_symbol
_atom_site_fract_x
_atom_site_fract_y
_atom_site_fract_z
Pa1 Pa 0.3333 0.6667 0.2231
Ge1 Ge 0.0000 0.0000 0.0000
Bi1 Bi 0.0000 0.0000 0.5000
H1 H 0.3333 0.6667 0.7612
```

***

No. 7
Here is Ba9Pb3O2 after structural relaxation from Alexandria via LeMat-Bulk. Energies are from PBE-GGA.

Computed properties:
Total energy, eV per atom: -3.76
Formation energy from raw total energies, kJ/mol of formula units: -1385

Structure (CIF):
```
data_Ba9Pb3O2
_chemical_formula_sum 'Ba9 Pb3 O2'
_cell_length_a 7.9299
_cell_length_b 7.9299
_cell_length_c 9.7191
_cell_angle_alpha 90.00
_cell_angle_beta 90.00
_cell_angle_gamma 120.00
_symmetry_space_group_name_H-M 'P -3 m 1'
_symmetry_Int_Tables_number 164
_symmetry_space_group_name_Hall '-P 3 2"'
loop_
_atom_site_label
_atom_site_type_symbol
_atom_site_fract_x
_atom_site_fract_y
_atom_site_fract_z
Ba1 Ba 0.0000 0.5000 0.0000
Ba2 Ba 0.1726 0.3452 0.6753
Pb1 Pb 0.0000 0.0000 0.0000
Pb2 Pb 0.3333 0.6667 0.3350
O1 O 0.3333 0.6667 0.8324
```

***

No. 8
Here is Hf2NbSe6 after structural relaxation from Alexandria via LeMat-Bulk. Energies are from PBE-GGA.

Computed properties:
Total energy, eV per atom: -6.80
Formation energy from raw total energies, kJ/mol of formula units: -993

Structure (CIF):
```
data_Hf2NbSe6
_chemical_formula_sum 'Hf4 Nb2 Se12'
_cell_length_a 17.3345
_cell_length_b 3.6662
_cell_length_c 8.0818
_cell_angle_alpha 90.00
_cell_angle_beta 110.58
_cell_angle_gamma 90.00
_symmetry_space_group_name_H-M 'C 1 2/m 1'
_symmetry_Int_Tables_number 12
_symmetry_space_group_name_Hall '-C 2y'
loop_
_atom_site_label
_atom_site_type_symbol
_atom_site_fract_x
_atom_site_fract_y
_atom_site_fract_z
Hf1 Hf 0.1651 0.0000 0.3299
Nb1 Nb 0.0000 0.5000 0.0000
Se1 Se 0.0010 0.0000 0.2360
Se2 Se 0.1616 0.5000 0.0866
Se3 Se 0.1696 0.5000 0.5738
```